Entry 1:
First-principles (PBE) data for HgPb2Au after structural relaxation, as listed in Alexandria.

Summary:
The calculated formation energy comes out at 4 kJ per mole of atoms. The total energy comes out at -2.712 eV per atom.

Lattice parameters (Å, degrees): 8.6390 8.6390 8.6390 26.41 26.41 26.41
Closest atoms and distances in Å follow each position.
Sites, in units of the cell vectors:
Pb  0.0065  0.0065  0.0065  3 Hg 3.15, 3 Pb 3.45
Au  0.4969  0.4969  0.4969  3 Hg 2.87, 3 Pb 2.92
Hg  0.7601  0.7601  0.7601  3 Au 2.87, 3 Pb 3.15
Pb  0.2364  0.2364  0.2364  3 Au 2.92


Entry 2:
First-principles (PBE) data for Cr2CdW after structural relaxation, as listed in Alexandria.

Summary:
The calculated formation energy comes out at 46 kJ per mole of atoms. The total energy comes out at -7.803 eV per atom.

Lattice parameters (Å, degrees): 3.1616 3.1616 6.1388 90.00 90.00 90.00
Closest atoms and distances in Å follow each position.
Sites, in units of the cell vectors:
Cd  0.5000  0.5000  0.7642  5 Cr 2.87-2.90, 4 W 2.99, 4 Cd 3.16
Cr  0.5000  0.5000  0.2366  4 Cr 2.49, 4 W 2.57
Cr  0.0000  0.0000  0.0573  1 W 2.36, 4 Cr 2.49
W  0.0000  0.0000  0.4419  5 Cr 2.36-2.57


Entry 3:
First-principles (PBE) data for Np2Ni4As3Pt after structural relaxation, as listed in Alexandria.

Summary:
The calculated formation energy comes out at -42 kJ per mole of atoms. The total energy comes out at -7.338 eV per atom.

Lattice parameters (Å, degrees): 3.9384 3.9384 10.4184 90.00 90.00 90.00
Closest atoms and distances in Å follow each position.
Sites, in units of the cell vectors:
Pt  0.5000  0.5000  0.5000  4 Ni 2.54, 4 As 2.78
Np  0.0000  0.5000  0.7476  8 Ni 2.95-3.29, 6 As 3.08-3.25, 2 Pt 3.25
As  0.5000  0.0000  0.8733  5 Ni 2.28-2.37
Ni  0.0000  0.0000  0.0000  4 As 2.37
Ni  0.0000  0.5000  0.3455  3 As 2.28-2.54, 2 Pt 2.54
Np  0.5000  0.0000  0.2524  8 Ni 2.95-3.29, 6 As 3.08-3.25, 2 Pt 3.25
Ni  0.5000  0.0000  0.6545  3 As 2.28-2.54, 2 Pt 2.54
Ni  0.5000  0.5000  0.0000  4 As 2.37
As  0.0000  0.0000  0.5000  4 Ni 2.54, 4 Pt 2.78
As  0.0000  0.5000  0.1267  5 Ni 2.28-2.37


Entry 4:
First-principles (PBE) data for CaMoW2 after structural relaxation, as listed in Alexandria.

Summary:
The calculated formation energy comes out at 73 kJ per mole of atoms. The total energy comes out at -8.928 eV per atom.

Lattice parameters (Å, degrees): 9.6085 9.6085 9.6085 18.17 18.17 18.17
Closest atoms and distances in Å follow each position.
Sites, in units of the cell vectors:
W  0.0118  0.0118  0.0118  3 Mo 2.68
Ca  0.2500  0.2500  0.2500  6 Ca 3.03, 6 W 3.21
Mo  0.7500  0.7500  0.7500  6 W 2.68
W  0.4882  0.4882  0.4882  3 Mo 2.68


Entry 5:
First-principles (PBE) data for ThUSn6 after structural relaxation, as listed in Alexandria.

Summary:
The calculated formation energy comes out at -28 kJ per mole of atoms. The total energy comes out at -5.634 eV per atom.

Lattice parameters (Å, degrees): 4.6961 4.6961 9.3660 90.00 90.00 90.00
Closest atoms and distances in Å follow each position.
Sites, in units of the cell vectors:
Sn  0.5000  0.0000  0.2561  8 Sn 3.28-3.36, 2 U 3.28, 2 Th 3.36
Sn  0.5000  0.0000  0.7439  2 U 3.28, 8 Sn 3.28-3.36, 2 Th 3.36
Sn  0.5000  0.5000  0.0000  4 Th 3.32, 8 Sn 3.36
Sn  0.0000  0.5000  0.2561  8 Sn 3.28-3.36, 2 U 3.28, 2 Th 3.36
Th  0.0000  0.0000  0.0000  12 Sn 3.32-3.36
Sn  0.0000  0.5000  0.7439  8 Sn 3.28-3.36, 2 U 3.28, 2 Th 3.36
U  0.0000  0.0000  0.5000  12 Sn 3.28-3.32
Sn  0.5000  0.5000  0.5000  8 Sn 3.28, 4 U 3.32


Entry 6:
First-principles (PBE) data for Tb8Hg2Rh3 after structural relaxation, as listed in Alexandria.

Summary:
The calculated formation energy comes out at -46 kJ per mole of atoms. The total energy comes out at -5.064 eV per atom.

Lattice parameters (Å, degrees): 4.9606 9.9649 8.6648 125.01 90.00 90.00
Closest atoms and distances in Å follow each position.
Sites, in units of the cell vectors:
Tb  0.0000  0.6162  0.2318  2 Rh 2.97-2.98, 2 Hg 3.08, 1 Tb 3.29
Rh  0.0000  0.2511  0.9998  8 Tb 2.97-3.01
Tb  0.5000  0.1299  0.7667  3 Rh 2.96-2.98, 2 Hg 3.11-3.16, 1 Tb 3.30
Tb  0.0000  0.8828  0.7662  4 Rh 2.98-3.01, 2 Hg 3.17, 1 Tb 3.32
Hg  0.5000  0.2558  0.5115  8 Tb 3.08-3.17
Hg  0.5000  0.7442  0.4885  8 Tb 3.08-3.17
Tb  0.5000  0.8701  0.2333  3 Rh 2.96-2.98, 2 Hg 3.11-3.16, 1 Tb 3.30
Tb  0.5000  0.6367  0.7678  3 Rh 2.97-2.98, 2 Hg 3.11-3.16, 1 Tb 3.30
Tb  0.0000  0.3838  0.7682  2 Rh 2.97-2.98, 2 Hg 3.08, 1 Tb 3.29
Tb  0.0000  0.1172  0.2338  4 Rh 2.98-3.01, 2 Hg 3.17, 1 Tb 3.32
Rh  0.5000  0.0000  0.0000  8 Tb 2.96-2.98
Rh  0.0000  0.7489  0.0002  8 Tb 2.97-3.01
Tb  0.5000  0.3633  0.2322  3 Rh 2.97-2.98, 2 Hg 3.11-3.16, 1 Tb 3.30


Entry 7:
First-principles (PBE) data for K12I3Cl5 after structural relaxation, as listed in Alexandria.

Summary:
The total energy comes out at -2.615 eV per atom. Its uncorrected formation energy is -25.24 eV per formula unit.

Lattice parameters (Å, degrees): 17.3698 17.3698 17.3698 109.47 109.47 109.47
Closest atoms and distances in Å follow each position.
Sites, in units of the cell vectors:
K  0.6789  0.2064  0.5857  2 Cl 3.00-3.26
K  0.7064  0.5857  0.1789  2 Cl 3.00-3.26
K  0.7936  0.4725  0.3793  2 Cl 3.00-3.26
Cl  0.8750  0.2500  0.6250  4 K 3.00
Cl  0.5000  0.0000  0.5000  6 K 3.26
Cl  0.0000  0.0000  0.5000  6 K 3.26
K  0.2064  0.5275  0.6207  2 Cl 3.00-3.26
K  0.9068  0.8211  0.5275  2 Cl 3.00-3.26
K  0.1207  0.4143  0.0932  2 Cl 3.00-3.26
Cl  0.6250  0.7500  0.8750  4 K 3.00
K  0.5275  0.2064  0.1207  2 Cl 3.00-3.26
Cl  0.7500  0.6250  0.3750  4 K 3.00
K  0.1207  0.7064  0.5275  2 Cl 3.00-3.26
K  0.9068  0.0857  0.8793  2 Cl 3.00-3.26
K  0.8793  0.5857  0.9068  2 Cl 3.00-3.26
I  0.1250  0.8750  0.7500  8 K 3.86-3.95
K  0.0275  0.6207  0.7064  2 Cl 3.00-3.26
I  0.6250  0.2500  0.3750  8 K 3.86-3.95
I  0.6250  0.3750  0.7500  8 K 3.86-3.95
K  0.6207  0.5932  0.9143  2 Cl 3.00-3.26
K  0.5932  0.9725  0.6789  2 Cl 3.00-3.26
Cl  0.5000  0.5000  0.5000  6 K 3.26
Cl  0.7500  0.1250  0.8750  4 K 3.00
Cl  0.6250  0.8750  0.2500  4 K 3.00
K  0.4068  0.0275  0.3211  2 Cl 3.00-3.26
K  0.9725  0.3793  0.2936  2 Cl 3.00-3.26
K  0.3793  0.4068  0.0857  2 Cl 3.00-3.26
K  0.8211  0.9143  0.2936  2 Cl 3.00-3.26
Cl  0.2500  0.3750  0.6250  4 K 3.00
K  0.5932  0.6207  0.4143  2 Cl 3.00-3.26
K  0.2936  0.4143  0.8211  2 Cl 3.00-3.26
K  0.3211  0.5275  0.4068  2 Cl 3.00-3.26
K  0.4725  0.6789  0.0932  2 Cl 3.00-3.26
K  0.7936  0.3211  0.9143  2 Cl 3.00-3.26
I  0.7500  0.8750  0.6250  8 K 3.86-3.95
I  0.1250  0.2500  0.8750  8 K 3.86-3.95
K  0.3793  0.9725  0.7936  2 Cl 3.00-3.26
K  0.2064  0.6789  0.0857  2 Cl 3.00-3.26
K  0.2936  0.8793  0.9725  2 Cl 3.00-3.26
I  0.8750  0.7500  0.1250  8 K 3.86-3.95
Cl  0.1250  0.7500  0.3750  4 K 3.00
Cl  0.8750  0.6250  0.7500  4 K 3.00
K  0.5275  0.3211  0.9068  2 Cl 3.00-3.26
K  0.8793  0.2936  0.4725  2 Cl 3.00-3.26
Cl  0.0000  0.5000  0.0000  6 K 3.26
I  0.2500  0.6250  0.8750  8 K 3.86-3.95
K  0.0932  0.1789  0.4725  2 Cl 3.00-3.26
Cl  0.5000  0.5000  0.0000  6 K 3.26
K  0.0857  0.9068  0.3793  2 Cl 3.00-3.26
K  0.6789  0.4725  0.5932  2 Cl 3.00-3.26
K  0.7064  0.1207  0.0275  2 Cl 3.00-3.26
Cl  0.2500  0.8750  0.1250  4 K 3.00
K  0.4143  0.2936  0.3211  2 Cl 3.00-3.26
K  0.1789  0.0932  0.9725  2 Cl 3.00-3.26
I  0.7500  0.3750  0.1250  8 K 3.86-3.95
I  0.3750  0.7500  0.6250  8 K 3.86-3.95
Cl  0.0000  0.0000  0.0000  6 K 3.26
K  0.1789  0.0857  0.7064  2 Cl 3.00-3.26
I  0.8750  0.1250  0.2500  8 K 3.86-3.95
Cl  0.5000  0.0000  0.0000  6 K 3.26
Cl  0.3750  0.1250  0.7500  4 K 3.00
K  0.5857  0.8793  0.4068  2 Cl 3.00-3.26
K  0.5857  0.7064  0.6789  2 Cl 3.00-3.26
K  0.0857  0.1789  0.2064  2 Cl 3.00-3.26
K  0.9143  0.8211  0.7936  2 Cl 3.00-3.26
Cl  0.1250  0.3750  0.2500  4 K 3.00
Cl  0.3750  0.2500  0.1250  4 K 3.00
K  0.6207  0.0275  0.2064  2 Cl 3.00-3.26
K  0.4143  0.1207  0.5932  2 Cl 3.00-3.26
K  0.0275  0.4068  0.8211  2 Cl 3.00-3.26
K  0.4068  0.3793  0.5857  2 Cl 3.00-3.26
K  0.3211  0.7936  0.4143  2 Cl 3.00-3.26
K  0.8211  0.9068  0.0275  2 Cl 3.00-3.26
K  0.0932  0.9143  0.1207  2 Cl 3.00-3.26
I  0.3750  0.6250  0.2500  8 K 3.86-3.95
I  0.2500  0.1250  0.3750  8 K 3.86-3.95
Cl  0.0000  0.5000  0.5000  6 K 3.26
K  0.9143  0.0932  0.6207  2 Cl 3.00-3.26
K  0.9725  0.5932  0.1789  2 Cl 3.00-3.26
K  0.4725  0.7936  0.8793  2 Cl 3.00-3.26